DFT (GGA-PBE) results for an optimized crystal structure of Li2TmZrO4.

Summary:
magnetic moment: 0.0 Bohr magnetons per cell
symmetry: I-4m2, No. 119
ΔE_f (raw): -21.853 eV/f.u.
N(E_F): 0.359 states/eV per atom

a b c (Å): 5.600 5.600 5.600
angles (deg): 133.66 133.66 67.62
Sites, in units of the cell vectors:
Li 0.000 0.000 0.000
Li 0.750 0.250 0.500
Tm 0.500 0.500 0.000
Zr 0.250 0.750 0.500
O 0.009 0.509 0.500
O 0.252 0.252 0.000
O 0.491 0.991 0.500
O 0.748 0.748 0.000


DFT (GGA-PBE) results for an optimized crystal structure of LiUO3.

Summary:
magnetic moment: 1.0 Bohr magnetons per cell
symmetry: R3m, No. 160
ΔE_f (raw): -13.985 eV/f.u.
N(E_F): 0.078 states/eV per atom

a b c (Å): 4.291 4.291 4.291
angles (deg): 88.01 88.01 88.01
Sites, in units of the cell vectors:
Li 0.000 0.000 0.000
U 0.635 0.635 0.635
O 0.138 0.669 0.669
O 0.669 0.138 0.669
O 0.669 0.669 0.138


DFT (GGA-PBE) results for an optimized crystal structure of LiUO3.

Summary:
magnetic moment: 1.0 Bohr magnetons per cell
symmetry: Pm-3m, No. 221
ΔE_f (raw): -13.555 eV/f.u.
N(E_F): 0.057 states/eV per atom

a b c (Å): 4.276 4.276 4.276
angles (deg): 90.00 90.00 90.00
Sites, in units of the cell vectors:
Li 0.000 0.000 0.000
U 0.500 0.500 0.500
O 0.000 0.500 0.500
O 0.500 0.000 0.500
O 0.500 0.500 0.000